# 1
Computed, not measured: Li2TaSe after structural relaxation at the GGA-PBEsol level of DFT.

Summary:
**DOS at the Fermi energy**: 0.6327 states/eV per atom
**Spin magnetization**: 0.00 μB per formula unit
**Uncorrected formation energy**: 0.07 eV/atom

Lattice parameters (Å, degrees): 2.728 4.852 5.243 90.00 90.14 90.00
Sites, in units of the cell vectors:
Ta (0.375, 0.500, 0.727)
Li (0.879, 0.000, 0.987)
Li (0.872, 0.500, 0.224)
Se (0.375, 0.000, 0.562)


# 2
Computed, not measured: Li2TaSe after structural relaxation at the GGA-PBEsol level of DFT.

Summary:
**DOS at the Fermi energy**: 0.6652 states/eV per atom
**Spin magnetization**: 0.00 μB per formula unit
**Uncorrected formation energy**: -0.03 eV/atom

Lattice parameters (Å, degrees): 3.167 4.252 4.614 90.00 90.00 90.00
Sites, in units of the cell vectors:
Ta (0.000, 0.500, 0.500)
Li (0.500, 0.500, 0.000)
Li (0.000, 0.000, 0.000)
Se (0.500, 0.000, 0.500)


# 3
Computed, not measured: LiTaSe3 after structural relaxation at the GGA-PBEsol level of DFT.

Summary:
**DOS at the Fermi energy**: 0.4645 states/eV per atom
**Spin magnetization**: 0.00 μB per formula unit
**Uncorrected formation energy**: -0.49 eV/atom

Lattice parameters (Å, degrees): 5.014 5.014 5.014 90.00 90.00 90.00
Sites, in units of the cell vectors:
Ta (0.000, 0.000, 0.000)
Se (0.000, 0.000, 0.500)
Se (0.000, 0.500, 0.000)
Se (0.500, 0.000, 0.000)
Li (0.500, 0.500, 0.500)


# 4
Computed, not measured: LiTaSe2 after structural relaxation at the GGA-PBEsol level of DFT.

Summary:
**DOS at the Fermi energy**: 0.4822 states/eV per atom
**Spin magnetization**: 0.00 μB per formula unit
**Uncorrected formation energy**: -0.63 eV/atom

Lattice parameters (Å, degrees): 3.712 3.712 5.128 90.00 90.00 90.00
Sites, in units of the cell vectors:
Se (0.500, 0.500, 0.000)
Se (0.000, 0.000, 0.500)
Li (0.500, 0.500, 0.500)
Ta (0.000, 0.000, 0.000)


# 5
Computed, not measured: LiTbSe2 after structural relaxation at the GGA-PBEsol level of DFT.

Summary:
**DOS at the Fermi energy**: 0.0000 states/eV per atom
**Spin magnetization**: 0.00 μB per formula unit
**Uncorrected formation energy**: -1.69 eV/atom

Lattice parameters (Å, degrees): 5.639 5.639 6.957 113.91 113.91 90.00
Sites, in units of the cell vectors:
Se (0.248, 0.248, 0.496)
Se (0.752, 0.752, 0.504)
Se (0.498, 0.998, 0.996)
Se (0.002, 0.502, 0.004)
Li (0.500, 0.500, 0.000)
Li (0.750, 0.250, 0.500)
Tb (0.000, 0.000, 0.000)
Tb (0.250, 0.750, 0.500)


# 6
Computed, not measured: LiTbSe2 after structural relaxation at the GGA-PBEsol level of DFT.

Summary:
**DOS at the Fermi energy**: 0.0000 states/eV per atom
**Spin magnetization**: 0.00 μB per formula unit
**Uncorrected formation energy**: -1.70 eV/atom

Lattice parameters (Å, degrees): 4.027 4.027 6.790 72.75 72.75 60.00
Sites, in units of the cell vectors:
Tb (0.000, 0.000, 0.000)
Li (0.500, 0.500, 0.500)
Se (0.248, 0.248, 0.256)
Se (0.752, 0.752, 0.744)


# 7
Computed, not measured: LiTbSe2 after structural relaxation at the GGA-PBEsol level of DFT.

Summary:
**DOS at the Fermi energy**: 0.1469 states/eV per atom
**Spin magnetization**: 0.00 μB per formula unit
**Uncorrected formation energy**: -1.62 eV/atom

Lattice parameters (Å, degrees): 4.033 4.033 5.540 90.00 90.00 90.00
Sites, in units of the cell vectors:
Li (0.000, 0.000, 0.000)
Tb (0.500, 0.500, 0.500)
Se (0.500, 0.500, 0.000)
Se (0.000, 0.000, 0.500)


# 8
Computed, not measured: LiTcSe2 after structural relaxation at the GGA-PBEsol level of DFT.

Summary:
**DOS at the Fermi energy**: 0.9468 states/eV per atom
**Spin magnetization**: 1.39 μB per formula unit
**Uncorrected formation energy**: 0.06 eV/atom

Lattice parameters (Å, degrees): 3.631 3.631 5.482 109.34 109.34 90.00
Each line ends with the local moment (μB).
Sites, in units of the cell vectors:
Li (0.250, 0.750, 0.500)  0.00
Se (0.000, 0.000, 0.000)  0.01
Se (0.750, 0.250, 0.500)  0.03
Tc (0.500, 0.500, 0.000)  1.24


Density, respectively: 6.55; 7.32; 5.60; 8.13; 5.93; 6.00; 5.97; 6.84 g/cm³.